(1)
LiCd3Hg: relaxed, PBE.

Output
**ΔE to the lowest computed polymorph**: 0 meV per atom
**Fermi-level density of states**: 0.388 states/eV per atom

a b c (Å): 4.4708 21.6055 4.4244
angles (deg): 90.00 90.00 90.00
Closest atoms and distances in Å follow each position.
Space group Cmcm (No. 63)
Inequivalent atoms, fractional coordinates:
Li (0.0000, 0.1497, 0.2500) [4 per cell]  8 Cd 3.07-3.11, 4 Hg 3.15
Cd (0.0000, 0.0510, 0.7500) [4 per cell]  2 Li 3.07, 2 Hg 3.12, 8 Cd 3.12-3.16
Cd (0.0000, 0.2503, 0.7500) [4 per cell]  4 Hg 3.06-3.09, 4 Li 3.10-3.11, 4 Cd 3.14
Cd (0.0000, 0.4477, 0.7500) [4 per cell]  2 Li 3.07, 2 Hg 3.08, 8 Cd 3.15-3.16
Hg (0.0000, 0.3482, 0.2500) [4 per cell]  8 Cd 3.06-3.12, 4 Li 3.15



(2)
PuTlB2F8: relaxed, PBE.

Output
**Formation energy without anion corrections**: -2.53 eV/atom
**Fermi-level density of states**: 1.512 states/eV per atom

a b c (Å): 5.5267 5.5267 25.2003
angles (deg): 90.00 90.00 120.00
Closest atoms and distances in Å follow each position.
Space group R-3 (No. 148, hexagonal axes)
Inequivalent atoms, fractional coordinates:
Pu (0.0000, 0.0000, 0.0000) [3 per cell]  6 F 2.57
Tl (0.0000, 0.0000, 0.5000) [3 per cell]  12 F 3.35-3.58
B (0.0000, 0.0000, 0.2619) [6 per cell]  4 F 1.38-1.44
F (0.0000, 0.0000, 0.2073) [6 per cell]  1 B 1.38
F (0.0237, 0.7709, 0.2827) [18 per cell]  1 B 1.44



(3)
Ti3AlAu: relaxed, PBE.

Output
**ΔE to the lowest computed polymorph**: 255 meV per atom
**Fermi-level density of states**: 1.136 states/eV per atom

a b c (Å): 5.1953 14.0816 4.9433
angles (deg): 90.00 90.00 90.00
Closest atoms and distances in Å follow each position.
Space group Cmcm (No. 63)
Inequivalent atoms, fractional coordinates:
Ti (0.0000, 0.0000, 0.0000) [4 per cell]  2 Ti 2.47, 2 Au 2.76
Ti (0.2494, 0.1581, 0.2500) [8 per cell]  4 Ti 2.59-2.86, 3 Au 2.68-2.80
Al (0.0000, 0.4563, 0.2500) [4 per cell]  2 Al 2.76, 4 Ti 2.94
Au (0.0000, 0.1751, 0.7500) [4 per cell]  8 Ti 2.68-2.80



(4)
ZnHg2PtPb: relaxed, PBE.

Output
**Final energy**: -11.21 eV per formula unit
**Fermi-level density of states**: 0.499 states/eV per atom

a b c (Å): 5.2696 5.2696 4.8318
angles (deg): 90.00 90.00 90.00
Closest atoms and distances in Å follow each position.
Space group P4/mmm (No. 123)
Inequivalent atoms, fractional coordinates:
Zn (0.0000, 0.0000, 0.0000) [1 per cell]  2 Pt 2.42
Hg (0.0000, 0.5000, 0.5000) [2 per cell]  2 Pt 2.63
Pt (0.0000, 0.0000, 0.5000) [1 per cell]  2 Zn 2.42, 4 Hg 2.63
Pb (0.5000, 0.5000, 0.0000) [1 per cell]  8 Hg 3.57, 4 Zn 3.73



| no. | magnetic moment (μB per atom) |
| --- | --- |
| 1 | 0.000 |
| 2 | 0.559 |
| 3 | 0.000 |
| 4 | 0.000 |